Arrangement P

CuIrRu after structural relaxation. Source: Alexandria via LeMat-Bulk, functional PBE-GGA.

* space-group type: No. 15
* spin magnetization: 0.00 μB per formula unit

a = 4.6397 Å, b = 7.9375 Å, c = 4.6363 Å
α = 90.00°, β = 107.63°, γ = 90.00°
Last column: nearest neighbours and their distance in Å.
Atoms (fractional coordinates):
Cu 0.0000 0.2493 0.2500  5 Ru 2.63-2.68, 5 Ir 2.64-2.68, 2 Cu 2.74
Cu 0.0000 0.7507 0.7500  5 Ru 2.63-2.68, 5 Ir 2.64-2.68, 2 Cu 2.74
Cu 0.5000 0.2507 0.7500  5 Ru 2.63-2.68, 5 Ir 2.64-2.68, 2 Cu 2.74
Cu 0.5000 0.7493 0.2500  5 Ru 2.63-2.68, 5 Ir 2.64-2.68, 2 Cu 2.74
Ir 0.0000 0.0827 0.7500  5 Cu 2.64-2.68, 5 Ru 2.66-2.74, 2 Ir 2.66
Ir 0.0000 0.9173 0.2500  5 Cu 2.64-2.68, 5 Ru 2.66-2.74, 2 Ir 2.66
Ir 0.5000 0.4173 0.2500  5 Cu 2.64-2.68, 5 Ru 2.66-2.74, 2 Ir 2.66
Ir 0.5000 0.5827 0.7500  5 Cu 2.64-2.68, 5 Ru 2.66-2.74, 2 Ir 2.66
Ru 0.0000 0.4195 0.7500  5 Cu 2.63-2.68, 2 Ru 2.65, 5 Ir 2.66-2.74
Ru 0.0000 0.5805 0.2500  5 Cu 2.63-2.68, 2 Ru 2.65, 5 Ir 2.66-2.74
Ru 0.5000 0.0805 0.2500  5 Cu 2.63-2.68, 2 Ru 2.65, 5 Ir 2.66-2.74
Ru 0.5000 0.9195 0.7500  5 Cu 2.63-2.68, 2 Ru 2.65, 5 Ir 2.66-2.74

***

Arrangement Q

CuIrRu after structural relaxation. Source: Alexandria via LeMat-Bulk, functional PBE-GGA.

* space-group type: No. 216
* spin magnetization: 0.00 μB per formula unit

a = 5.7990 Å, b = 5.7990 Å, c = 5.7990 Å
α = 90.00°, β = 90.00°, γ = 90.00°
Last column: nearest neighbours and their distance in Å.
Atoms (fractional coordinates):
Cu 0.0000 0.0000 0.0000  4 Ir 2.51
Cu 0.0000 0.5000 0.5000  4 Ir 2.51
Cu 0.5000 0.0000 0.5000  4 Ir 2.51
Cu 0.5000 0.5000 0.0000  4 Ir 2.51
Ir 0.2500 0.2500 0.2500  4 Ru 2.51, 4 Cu 2.51
Ir 0.2500 0.7500 0.7500  4 Ru 2.51, 4 Cu 2.51
Ir 0.7500 0.2500 0.7500  4 Ru 2.51, 4 Cu 2.51
Ir 0.7500 0.7500 0.2500  4 Ru 2.51, 4 Cu 2.51
Ru 0.0000 0.0000 0.5000  4 Ir 2.51
Ru 0.0000 0.5000 0.0000  4 Ir 2.51
Ru 0.5000 0.0000 0.0000  4 Ir 2.51
Ru 0.5000 0.5000 0.5000  4 Ir 2.51

***

Arrangement R

CuIrRu after structural relaxation. Source: Alexandria via LeMat-Bulk, functional PBE-GGA.

* space-group type: No. 5
* spin magnetization: 0.00 μB per formula unit

a = 8.0274 Å, b = 4.6334 Å, c = 5.1427 Å
α = 90.00°, β = 121.73°, γ = 90.00°
Last column: nearest neighbours and their distance in Å.
Atoms (fractional coordinates):
Cu 0.0000 0.0000 0.0000  4 Ru 2.66-2.68, 6 Ir 2.67-2.68, 2 Cu 2.68
Cu 0.0000 0.1665 0.5000  6 Ru 2.67-2.68, 4 Ir 2.67-2.68, 2 Cu 2.68
Cu 0.5000 0.5000 0.0000  4 Ru 2.66-2.68, 6 Ir 2.67-2.68, 2 Cu 2.68
Cu 0.5000 0.6665 0.5000  6 Ru 2.67-2.68, 4 Ir 2.67-2.68, 2 Cu 2.68
Ir 0.1671 0.4992 0.0003  5 Cu 2.67-2.68, 4 Ru 2.67-2.69, 3 Ir 2.67-2.68
Ir 0.3329 0.9992 0.9997  5 Cu 2.67-2.68, 4 Ru 2.67-2.69, 3 Ir 2.67-2.68
Ir 0.6671 0.9992 0.0003  5 Cu 2.67-2.68, 4 Ru 2.67-2.69, 3 Ir 2.67-2.68
Ir 0.8329 0.4992 0.9997  5 Cu 2.67-2.68, 4 Ru 2.67-2.69, 3 Ir 2.67-2.68
Ru 0.1680 0.6672 0.5006  5 Cu 2.66-2.68, 3 Ru 2.67-2.69, 4 Ir 2.67-2.69
Ru 0.3320 0.1672 0.4994  5 Cu 2.66-2.68, 3 Ru 2.67-2.69, 4 Ir 2.67-2.69
Ru 0.6680 0.1672 0.5006  5 Cu 2.66-2.68, 3 Ru 2.67-2.69, 4 Ir 2.67-2.69
Ru 0.8320 0.6672 0.4994  5 Cu 2.66-2.68, 3 Ru 2.67-2.69, 4 Ir 2.67-2.69

***

arrangement P wins, 0.005 eV/atom ahead of the next structure.

***

Arrangement P

CuIrRu after structural relaxation. Source: Alexandria via LeMat-Bulk, functional PBE-GGA.

* space-group type: No. 2
* spin magnetization: 0.00 μB per formula unit

a = 4.6241 Å, b = 4.6335 Å, c = 5.0908 Å
α = 63.66°, β = 63.70°, γ = 60.31°
Last column: nearest neighbours and their distance in Å.
Atoms (fractional coordinates):
Cu 0.2480 0.4162 0.2529  5 Ir 2.65-2.69, 2 Cu 2.65-2.71, 5 Ru 2.66-2.69
Cu 0.7520 0.5838 0.7471  5 Ir 2.65-2.69, 2 Cu 2.65-2.71, 5 Ru 2.66-2.69
Ir 0.4169 0.2520 0.7500  5 Cu 2.65-2.69, 5 Ru 2.66-2.69, 2 Ir 2.68
Ir 0.5831 0.7480 0.2500  5 Cu 2.65-2.69, 5 Ru 2.66-2.69, 2 Ir 2.68
Ru 0.0840 0.9134 0.7522  2 Ru 2.66-2.68, 5 Cu 2.66-2.69, 5 Ir 2.66-2.69
Ru 0.9160 0.0866 0.2478  2 Ru 2.66-2.68, 5 Cu 2.66-2.69, 5 Ir 2.66-2.69

***

Arrangement Q

CuIrRu after structural relaxation. Source: Alexandria via LeMat-Bulk, functional PBE-GGA.

* space-group type: No. 156
* spin magnetization: 0.00 μB per formula unit

a = 4.2168 Å, b = 4.2168 Å, c = 2.6761 Å
α = 90.00°, β = 90.00°, γ = 120.00°
Last column: nearest neighbours and their distance in Å.
Atoms (fractional coordinates):
Cu 0.0000 0.0000 0.0000  3 Ir 2.50, 3 Ru 2.56, 2 Cu 2.68
Ir 0.6667 0.3333 0.2158  3 Cu 2.50, 2 Ir 2.68, 6 Ru 2.76-2.79
Ru 0.3333 0.6667 0.7046  3 Cu 2.56, 2 Ru 2.68, 6 Ir 2.76-2.79

***

arrangement P wins, 0.183 eV/atom ahead of the next structure.

***

Arrangement P

CuSbIr after structural relaxation. Source: Alexandria via LeMat-Bulk, functional PBE-GGA.

* space-group type: No. 107
* spin magnetization: 0.00 μB per formula unit

a = 3.4511 Å, b = 3.4511 Å, c = 8.1753 Å
α = 90.00°, β = 90.00°, γ = 90.00°
Last column: nearest neighbours and their distance in Å.
Atoms (fractional coordinates):
Cu 0.0000 0.0000 0.0000  5 Sb 2.65-2.83, 5 Ir 2.76-2.78
Cu 0.5000 0.5000 0.5000  5 Sb 2.65-2.83, 5 Ir 2.76-2.78
Sb 0.0000 0.0000 0.6754  5 Cu 2.65-2.83, 5 Ir 2.77-2.78
Sb 0.5000 0.5000 0.1754  5 Cu 2.65-2.83, 5 Ir 2.77-2.78
Ir 0.0000 0.0000 0.3371  5 Cu 2.76-2.78, 5 Sb 2.77-2.78
Ir 0.5000 0.5000 0.8371  5 Cu 2.76-2.78, 5 Sb 2.77-2.78

***

Arrangement Q

CuSbIr after structural relaxation. Source: Alexandria via LeMat-Bulk, functional PBE-GGA.

* space-group type: No. 156
* spin magnetization: 0.00 μB per formula unit

a = 4.4492 Å, b = 4.4492 Å, c = 3.0155 Å
α = 90.00°, β = 90.00°, γ = 120.00°
Last column: nearest neighbours and their distance in Å.
Atoms (fractional coordinates):
Cu 0.0000 0.0000 0.0000  6 Sb 2.98, 6 Ir 2.98, 2 Cu 3.02
Sb 0.3333 0.6667 0.5018  3 Ir 2.57
Ir 0.6667 0.3333 0.4995  3 Sb 2.57

***

arrangement P wins, 0.179 eV/atom ahead of the next structure.

***

Arrangement P

CuSbIr after structural relaxation. Source: Alexandria via LeMat-Bulk, functional PBE-GGA.

* space-group type: No. 62
* spin magnetization: 0.00 μB per formula unit

a = 8.7646 Å, b = 4.1006 Å, c = 6.1350 Å
α = 90.00°, β = 90.00°, γ = 90.00°
Last column: nearest neighbours and their distance in Å.
Atoms (fractional coordinates):
Cu 0.1202 0.2500 0.2204  4 Ir 2.59-2.76, 1 Sb 2.69
Cu 0.3798 0.7500 0.7204  4 Ir 2.59-2.76, 1 Sb 2.69
Cu 0.6202 0.2500 0.2796  4 Ir 2.59-2.76, 1 Sb 2.69
Cu 0.8798 0.7500 0.7796  4 Ir 2.59-2.76, 1 Sb 2.69
Sb 0.1334 0.2500 0.7831  4 Ir 2.61-2.86, 1 Cu 2.69
Sb 0.3666 0.7500 0.2831  4 Ir 2.61-2.86, 1 Cu 2.69
Sb 0.6334 0.2500 0.7169  4 Ir 2.61-2.86, 1 Cu 2.69
Sb 0.8666 0.7500 0.2169  4 Ir 2.61-2.86, 1 Cu 2.69
Ir 0.1138 0.7500 0.5210  4 Cu 2.59-2.76, 4 Sb 2.61-2.86, 2 Ir 2.87
Ir 0.3862 0.2500 0.0210  4 Cu 2.59-2.76, 4 Sb 2.61-2.86, 2 Ir 2.87
Ir 0.6138 0.7500 0.9790  4 Cu 2.59-2.76, 4 Sb 2.61-2.86, 2 Ir 2.87
Ir 0.8862 0.2500 0.4790  4 Cu 2.59-2.76, 4 Sb 2.61-2.86, 2 Ir 2.87

***

Arrangement Q

CuSbIr after structural relaxation. Source: Alexandria via LeMat-Bulk, functional PBE-GGA.

* space-group type: No. 216
* spin magnetization: 0.00 μB per formula unit

a = 6.0794 Å, b = 6.0794 Å, c = 6.0794 Å
α = 90.00°, β = 90.00°, γ = 90.00°
Last column: nearest neighbours and their distance in Å.
Atoms (fractional coordinates):
Cu 0.0000 0.0000 0.0000  4 Ir 2.63
Cu 0.0000 0.5000 0.5000  4 Ir 2.63
Cu 0.5000 0.0000 0.5000  4 Ir 2.63
Cu 0.5000 0.5000 0.0000  4 Ir 2.63
Sb 0.0000 0.0000 0.5000  4 Ir 2.63
Sb 0.0000 0.5000 0.0000  4 Ir 2.63
Sb 0.5000 0.0000 0.0000  4 Ir 2.63
Sb 0.5000 0.5000 0.5000  4 Ir 2.63
Ir 0.2500 0.2500 0.2500  4 Sb 2.63, 4 Cu 2.63
Ir 0.2500 0.7500 0.7500  4 Sb 2.63, 4 Cu 2.63
Ir 0.7500 0.2500 0.7500  4 Sb 2.63, 4 Cu 2.63
Ir 0.7500 0.7500 0.2500  4 Sb 2.63, 4 Cu 2.63

***

arrangement Q wins, 0.025 eV/atom ahead of the next structure.

***

Arrangement P

ScCuIr3 after structural relaxation. Source: Alexandria via LeMat-Bulk, functional PBE-GGA.

* space-group type: No. 221
* spin magnetization: 0.00 μB per formula unit

a = 4.6621 Å, b = 4.6621 Å, c = 4.6621 Å
α = 90.00°, β = 90.00°, γ = 90.00°
Last column: nearest neighbours and their distance in Å.
Atoms (fractional coordinates):
Sc 0.0000 0.0000 0.0000  6 Ir 2.33
Cu 0.5000 0.5000 0.5000  12 Ir 3.30
Ir 0.0000 0.0000 0.5000  2 Sc 2.33
Ir 0.0000 0.5000 0.0000  2 Sc 2.33
Ir 0.5000 0.0000 0.0000  2 Sc 2.33

***

Arrangement Q

ScCuIr3 after structural relaxation. Source: Alexandria via LeMat-Bulk, functional PBE-GGA.

* space-group type: No. 221
* spin magnetization: 0.00 μB per formula unit

a = 4.4847 Å, b = 4.4847 Å, c = 4.4847 Å
α = 90.00°, β = 90.00°, γ = 90.00°
Last column: nearest neighbours and their distance in Å.
Atoms (fractional coordinates):
Sc 0.0000 0.0000 0.0000  12 Ir 3.17
Cu 0.5000 0.5000 0.5000  6 Ir 2.24
Ir 0.0000 0.5000 0.5000  2 Cu 2.24
Ir 0.5000 0.0000 0.5000  2 Cu 2.24
Ir 0.5000 0.5000 0.0000  2 Cu 2.24

***

arrangement Q wins, 0.872 eV/atom ahead of the next structure.